Computed, not measured: a relaxed structure of Ho2Ni15Pd2 at the PBE level of DFT.

CIF file:
```
data_Ho2Ni15Pd2
_chemical_formula_sum 'Ho2 Ni15 Pd2'
_space_group_name_H-M_alt 'P 1'
_space_group_IT_number 1
_cell_length_a 6.314
_cell_length_b 6.314
_cell_length_c 6.314
_cell_angle_alpha 83.44
_cell_angle_beta 83.44
_cell_angle_gamma 83.44
loop_
_space_group_symop_operation_xyz
'x,y,z'
loop_
_atom_site_label
_atom_site_fract_x
_atom_site_fract_y
_atom_site_fract_z
_atom_site_occupancy
Ho1 0.343 0.343 0.343 1
Ho2 0.657 0.657 0.657 1
Ni1 0.500 0.000 0.000 1
Ni2 0.000 0.000 0.500 1
Ni3 0.000 0.500 0.000 1
Ni4 0.000 0.701 0.299 1
Ni5 0.701 0.299 0.000 1
Ni6 0.299 0.000 0.701 1
Ni7 0.299 0.701 0.000 1
Ni8 0.701 0.000 0.299 1
Ni9 0.000 0.299 0.701 1
Ni10 0.160 0.651 0.651 1
Ni11 0.651 0.651 0.160 1
Ni12 0.651 0.160 0.651 1
Ni13 0.840 0.349 0.349 1
Ni14 0.349 0.349 0.840 1
Ni15 0.349 0.840 0.349 1
Pd1 0.107 0.107 0.107 1
Pd2 0.893 0.893 0.893 1
```

Results
ΔE_f = -4.16 eV/f.u.
Space-group type = No. 166
M_tot = 7.00 Bohr magnetons per cell

---

Computed, not measured: a relaxed structure of Ho8NiPd2 at the PBE level of DFT.

CIF file:
```
data_Ho8NiPd2
_chemical_formula_sum 'Ho8 Ni1 Pd2'
_space_group_name_H-M_alt 'P 1'
_space_group_IT_number 1
_cell_length_a 5.033
_cell_length_b 6.672
_cell_length_c 8.960
_cell_angle_alpha 103.61
_cell_angle_beta 106.31
_cell_angle_gamma 90.00
loop_
_space_group_symop_operation_xyz
'x,y,z'
loop_
_atom_site_label
_atom_site_fract_x
_atom_site_fract_y
_atom_site_fract_z
_atom_site_occupancy
Ho1 0.411 0.554 0.821 1
Ho2 0.662 0.976 0.325 1
Ho3 0.796 0.676 0.591 1
Ho4 0.969 0.215 0.937 1
Ho5 0.204 0.324 0.409 1
Ho6 0.338 0.024 0.675 1
Ho7 0.589 0.446 0.179 1
Ho8 0.031 0.785 0.063 1
Ni1 0.500 0.000 0.000 1
Pd1 0.810 0.267 0.620 1
Pd2 0.190 0.733 0.380 1
```

Results
ΔE_f = -4.21 eV/f.u.
Space-group type = No. 12
M_tot = 0.00 Bohr magnetons per cell

---

Computed, not measured: a relaxed structure of Ho4NiPd at the PBE level of DFT.

CIF file:
```
data_Ho4NiPd
_chemical_formula_sum 'Ho8 Ni2 Pd2'
_space_group_name_H-M_alt 'P 1'
_space_group_IT_number 1
_cell_length_a 6.305
_cell_length_b 6.810
_cell_length_c 6.810
_cell_angle_alpha 90.00
_cell_angle_beta 90.00
_cell_angle_gamma 90.00
loop_
_space_group_symop_operation_xyz
'x,y,z'
loop_
_atom_site_label
_atom_site_fract_x
_atom_site_fract_y
_atom_site_fract_z
_atom_site_occupancy
Ho1 0.000 0.187 0.674 1
Ho2 0.000 0.813 0.326 1
Ho3 0.000 0.326 0.187 1
Ho4 0.000 0.674 0.813 1
Ho5 0.500 0.813 0.674 1
Ho6 0.500 0.187 0.326 1
Ho7 0.500 0.674 0.187 1
Ho8 0.500 0.326 0.813 1
Ni1 0.250 0.500 0.500 1
Ni2 0.750 0.500 0.500 1
Pd1 0.250 0.000 0.000 1
Pd2 0.750 0.000 0.000 1
```

Results
ΔE_f = -2.50 eV/f.u.
Space-group type = No. 124
M_tot = 0.00 Bohr magnetons per cell

---

Computed, not measured: a relaxed structure of Ho4NiPd at the PBE level of DFT.

CIF file:
```
data_Ho4NiPd
_chemical_formula_sum 'Ho8 Ni2 Pd2'
_space_group_name_H-M_alt 'P 1'
_space_group_IT_number 1
_cell_length_a 6.900
_cell_length_b 6.719
_cell_length_c 8.235
_cell_angle_alpha 109.87
_cell_angle_beta 110.65
_cell_angle_gamma 99.34
loop_
_space_group_symop_operation_xyz
'x,y,z'
loop_
_atom_site_label
_atom_site_fract_x
_atom_site_fract_y
_atom_site_fract_z
_atom_site_occupancy
Ho1 0.943 0.283 0.062 1
Ho2 0.618 0.779 0.062 1
Ho3 0.278 0.527 0.561 1
Ho4 0.722 0.473 0.439 1
Ho5 0.217 0.967 0.439 1
Ho6 0.382 0.221 0.938 1
Ho7 0.783 0.033 0.561 1
Ho8 0.057 0.717 0.938 1
Ni1 0.089 0.839 0.677 1
Ni2 0.911 0.161 0.323 1
Pd1 0.371 0.621 0.242 1
Pd2 0.629 0.379 0.758 1
```

Results
ΔE_f = -2.16 eV/f.u.
Space-group type = No. 15
M_tot = 0.00 Bohr magnetons per cell

---

Computed, not measured: a relaxed structure of HoNiPd2 at the PBE level of DFT.

CIF file:
```
data_HoNiPd2
_chemical_formula_sum 'Ho1 Ni1 Pd2'
_space_group_name_H-M_alt 'P 1'
_space_group_IT_number 1
_cell_length_a 3.973
_cell_length_b 4.072
_cell_length_c 4.072
_cell_angle_alpha 90.00
_cell_angle_beta 90.00
_cell_angle_gamma 90.00
loop_
_space_group_symop_operation_xyz
'x,y,z'
loop_
_atom_site_label
_atom_site_fract_x
_atom_site_fract_y
_atom_site_fract_z
_atom_site_occupancy
Ni1 0.500 0.000 0.000 1
Ho1 0.500 0.500 0.500 1
Pd1 0.000 0.000 0.500 1
Pd2 0.000 0.500 0.000 1
```

Results
ΔE_f = -2.64 eV/f.u.
Space-group type = No. 123
M_tot = 0.44 Bohr magnetons per cell

---

Computed, not measured: a relaxed structure of Ho4NiPd3 at the PBE level of DFT.

CIF file:
```
data_Ho4NiPd3
_chemical_formula_sum 'Ho4 Ni1 Pd3'
_space_group_name_H-M_alt 'P 1'
_space_group_IT_number 1
_cell_length_a 3.738
_cell_length_b 4.450
_cell_length_c 10.409
_cell_angle_alpha 90.00
_cell_angle_beta 90.00
_cell_angle_gamma 90.00
loop_
_space_group_symop_operation_xyz
'x,y,z'
loop_
_atom_site_label
_atom_site_fract_x
_atom_site_fract_y
_atom_site_fract_z
_atom_site_occupancy
Ho1 0.500 0.500 0.354 1
Ho2 0.000 0.500 0.868 1
Ho3 0.000 0.000 0.137 1
Ho4 0.500 0.000 0.639 1
Ni1 0.500 0.500 0.081 1
Pd1 0.000 0.500 0.587 1
Pd2 0.000 0.000 0.413 1
Pd3 0.500 0.000 0.920 1
```

Results
ΔE_f = -6.46 eV/f.u.
Space-group type = No. 25
M_tot = 0.00 Bohr magnetons per cell